Compound: Ba2ZrAg
Source: the Alexandria database
Functional: PBE-GGA
Structure: optimized geometry

a = 6.689 Å, b = 6.689 Å, c = 6.689 Å
α = 144.11°, β = 129.29°, γ = 63.68°
Each line ends with the local moment (μB).
Fractional coordinates of all 4 atoms:
1 Ba 0.028 0.028 0.000  0.01
2 Ba 0.472 0.472 0.000  0.01
3 Ag 0.250 0.750 0.500  0.00
4 Zr 0.750 0.250 0.500  0.30

**N(E_F)**: 5.1 states/eV per cell
**Energy above the lowest structure with this stoichiometry**: 294 meV per atom
**Total magnetization**: 0.52 μB per formula unit
**Total DFT energy (no corrections)**: -3.291 eV per atom
**ρ**: 5.9 Mg/m³

=====

Compound: Cs3CuO2
Source: the Alexandria database
Functional: PBE-GGA
Structure: optimized geometry

a = 4.736 Å, b = 6.273 Å, c = 11.867 Å
α = 90.00°, β = 90.00°, γ = 90.00°
Fractional coordinates of all 12 atoms:
1 O 0.000 0.205 0.392
2 O 0.500 0.705 0.108
3 O 0.000 0.795 0.608
4 O 0.500 0.295 0.892
5 Cs 0.500 0.500 0.500
6 Cs 0.500 0.942 0.728
7 Cs 0.500 0.058 0.272
8 Cs 0.000 0.558 0.228
9 Cs 0.000 0.442 0.772
10 Cs 0.000 0.000 0.000
11 Cu 0.000 0.000 0.500
12 Cu 0.500 0.500 0.000

**Energy above the lowest structure with this stoichiometry**: 4 meV per atom
**Formation energy without anion corrections**: -984 meV per atom
**Total magnetization**: 0.00 μB per formula unit
**Total DFT energy (no corrections)**: -3.746 eV per atom
**ρ**: 4.7 Mg/m³

=====

Copy entry 1 word for word.
Compound: Ba2ZrAg
Source: the Alexandria database
Functional: PBE-GGA
Structure: optimized geometry

a = 6.689 Å, b = 6.689 Å, c = 6.689 Å
α = 144.11°, β = 129.29°, γ = 63.68°
Each line ends with the local moment (μB).
Fractional coordinates of all 4 atoms:
1 Ba 0.028 0.028 0.000  0.01
2 Ba 0.472 0.472 0.000  0.01
3 Ag 0.250 0.750 0.500  0.00
4 Zr 0.750 0.250 0.500  0.30

**N(E_F)**: 5.1 states/eV per cell
**Energy above the lowest structure with this stoichiometry**: 294 meV per atom
**Total magnetization**: 0.52 μB per formula unit
**Total DFT energy (no corrections)**: -3.291 eV per atom
**ρ**: 5.9 Mg/m³

=====

Question: ρ of number 2 (Cs3CuO2)?
Answer: 4.7 Mg/m³